(1)
First-principles (PBE-GGA) data for an optimized crystal structure of TlCdS2N, as listed in Alexandria.

* E_form (uncorrected): 1095 meV per atom
* final energy: -2.88 eV per atom
* distance to the lowest polymorph of the same formula: 193.1 meV per atom

abc: 5.2688 5.2688 4.3048
angles: 90.00 90.00 90.00
Closest atoms and distances in Å follow each position.
Space group P4/mmm (No. 123)
Asymmetric unit:
Tl 0.0000 0.0000 0.0000 [1 per cell]  2 N 2.15
Cd 0.5000 0.5000 0.5000 [1 per cell]  8 S 3.40, 4 N 3.73
S 0.0000 0.5000 0.0000 [2 per cell]  2 Tl 2.63
N 0.0000 0.0000 0.5000 [1 per cell]  2 Tl 2.15

(2)
First-principles (PBE-GGA) data for an optimized crystal structure of K2GaSn2, as listed in Alexandria.

* final energy: -2.83 eV per atom
* E_form: -184 meV per atom
* distance to the lowest polymorph of the same formula: 0.0 meV per atom

abc: 12.3214 5.1041 12.1317
angles: 90.00 119.56 90.00
Closest atoms and distances in Å follow each position.
Space group C2/m (No. 12)
Asymmetric unit:
K 0.0857 0.0000 0.3852 [4 per cell]  6 Sn 3.60-3.61, 2 Ga 3.84, 2 K 4.02
K 0.1701 0.5000 0.1828 [4 per cell]  7 Sn 3.54-3.92, 4 Ga 3.62-3.84
Ga 0.1415 0.5000 0.8533 [4 per cell]  4 Sn 2.83-2.98
Sn 0.1017 0.0000 0.9554 [4 per cell]  3 Ga 2.85-2.98, 1 Sn 3.18
Sn 0.1197 0.5000 0.6103 [4 per cell]  1 Ga 2.83, 1 Sn 2.84

(3)
First-principles (PBE-GGA) data for an optimized crystal structure of La6C2NO2, as listed in Alexandria.

* E_form (uncorrected): -1334 meV per atom
* final energy: -7.36 eV per atom

abc: 6.5879 11.2947 6.5175
angles: 90.00 110.34 90.00
Closest atoms and distances in Å follow each position.
Space group C2/m (No. 12)
Asymmetric unit:
La 0.2327 0.0000 0.2675 [4 per cell]  1 N 2.50, 2 O 2.67, 2 C 2.71
La 0.2428 0.1731 0.7456 [8 per cell]  2 C 2.53-2.71, 2 O 2.63-2.67, 1 N 2.68
C 0.0000 0.3275 0.5000 [4 per cell]  6 La 2.53-2.71
N 0.0000 0.0000 0.5000 [2 per cell]  6 La 2.50-2.68
O 0.0000 0.1674 0.0000 [4 per cell]  6 La 2.63-2.67

(4)
First-principles (PBE-GGA) data for an optimized crystal structure of CsRb2TlAu2, as listed in Alexandria.

* final energy: -2.16 eV per atom
* E_form: -207 meV per atom

abc: 4.8845 10.2207 9.9062
angles: 90.00 90.00 90.00
Closest atoms and distances in Å follow each position.
Space group Pmc2_1 (No. 26)
Asymmetric unit:
Cs 0.0000 0.0543 0.0000 [2 per cell]  5 Au 3.60-3.87, 1 Rb 3.86
Rb 0.0000 0.3117 0.4024 [2 per cell]  4 Au 3.56-3.72, 1 Cs 3.86, 2 Tl 3.98
Rb 0.5000 0.4100 0.0690 [2 per cell]  5 Au 3.80-3.93, 2 Tl 4.01-4.09, 4 Rb 4.10-4.23
Tl 0.5000 0.2207 0.7054 [2 per cell]  3 Au 2.92-3.23
Au 0.0000 0.3632 0.7737 [2 per cell]  2 Tl 2.92
Au 0.5000 0.0901 0.2638 [2 per cell]  1 Tl 3.23, 2 Cs 3.60, 2 Rb 3.60

(5)
First-principles (PBE-GGA) data for an optimized crystal structure of MnP2Pb, as listed in Alexandria.

* final energy: -5.48 eV per atom
* E_form: 445 meV per atom

abc: 5.5915 7.6212 4.1155
angles: 90.00 114.26 90.00
Closest atoms and distances in Å follow each position.
Space group C2/m (No. 12)
Asymmetric unit:
Mn 0.0000 0.0000 0.0000 [2 per cell]  4 P 2.73, 2 Pb 2.80
P 0.2500 0.2500 0.5000 [4 per cell]  2 Mn 2.73, 2 Pb 2.73, 2 P 2.80
Pb 0.0000 0.5000 0.0000 [2 per cell]  4 P 2.73, 2 Mn 2.80

(6)
First-principles (PBE-GGA) data for an optimized crystal structure of RbTaO2F, as listed in Alexandria.

* E_form (uncorrected): 1026 meV per atom
* final energy: -3.90 eV per atom

abc: 4.4524 4.4524 4.5413
angles: 90.00 90.00 90.00
Closest atoms and distances in Å follow each position.
Space group P4/mmm (No. 123)
Asymmetric unit:
Rb 0.0000 0.0000 0.0000 [1 per cell]  4 O 2.23, 2 F 2.27
Ta 0.5000 0.5000 0.5000 [1 per cell]  4 F 3.15, 8 O 3.18
O 0.0000 0.5000 0.0000 [2 per cell]  2 Rb 2.23
F 0.0000 0.0000 0.5000 [1 per cell]  2 Rb 2.27

(7)
First-principles (PBE-GGA) data for an optimized crystal structure of AlPtSCl2, as listed in Alexandria.

* E_form (uncorrected): 67 meV per atom
* final energy: -3.45 eV per atom
* distance to the lowest polymorph of the same formula: 26.9 meV per atom

abc: 4.4388 4.4388 5.0444
angles: 90.00 90.00 90.00
Closest atoms and distances in Å follow each position.
Space group P4/mmm (No. 123)
Asymmetric unit:
Al 0.0000 0.0000 0.0000 [1 per cell]  4 Cl 2.22
Pt 0.5000 0.5000 0.5000 [1 per cell]  4 S 3.14, 8 Cl 3.36
S 0.0000 0.0000 0.5000 [1 per cell]  2 Al 2.52
Cl 0.0000 0.5000 0.0000 [2 per cell]  2 Al 2.22

(8)
First-principles (PBE-GGA) data for an optimized crystal structure of MgZr2Te4, as listed in Alexandria.

* E_form (uncorrected): -770 meV per atom
* final energy: -5.24 eV per atom

abc: 8.5628 8.5628 12.0838
angles: 90.00 90.00 90.00
Closest atoms and distances in Å follow each position.
Space group I4_1/amd (No. 141, origin choice 2)
Asymmetric unit:
Mg 0.0000 0.2500 0.3750 [4 per cell]  4 Te 2.75
Zr 0.0000 0.0000 0.0000 [8 per cell]  6 Te 2.95-2.96
Te 0.0000 0.0121 0.7559 [16 per cell]  1 Mg 2.75, 3 Zr 2.95-2.96